Entry 1:
Density functional theory data (PBE) for Rb3Ca2NbO6 after structural relaxation.

abc: 5.9612 5.9612 6.7487
angles: 98.43 98.43 119.98
With the nearest neighbours (Å) after each atom.
Fractional positions:
1 O 0.2311 0.2311 0.8234  1 Nb 2.07
2 O 0.6514 0.9415 0.8254  1 Nb 2.07
3 O 0.3486 0.0585 0.1746  1 Nb 2.07
4 O 0.9415 0.6514 0.8254  1 Nb 2.07
5 O 0.7689 0.7689 0.1766  1 Nb 2.07
6 O 0.0585 0.3486 0.1746  1 Nb 2.07
7 Nb 0.0000 0.0000 0.0000  6 O 2.07
8 Ca 0.6666 0.3334 0.0000  6 O 2.41
9 Ca 0.3334 0.6666 0.0000  6 O 2.41
10 Rb 0.5000 0.5000 0.5000  6 O 2.81-3.06
11 Rb 0.8311 0.1689 0.5000  6 O 2.81-3.06
12 Rb 0.1689 0.8311 0.5000  6 O 2.81-3.06

Formation energy from raw total energies = -2.3103 eV/atom
Calculated volume = 16.55 A^3/atom

=====

Entry 2:
Density functional theory data (PBE) for Ca2NbSO after structural relaxation.

abc: 4.2921 6.1836 4.2921
angles: 90.00 90.00 90.00
With the nearest neighbours (Å) after each atom.
Fractional positions:
1 Nb 0.5000 0.5000 0.5000  4 S 3.03
2 Ca 0.5000 0.0000 0.0000  2 O 2.15
3 Ca 0.0000 0.0000 0.5000  2 O 2.15
4 S 0.0000 0.5000 0.0000  4 Nb 3.03, 2 O 3.09
5 O 0.0000 0.0000 0.0000  4 Ca 2.15

Formation energy from raw total energies = -0.5413 eV/atom
Calculated volume = 22.78 A^3/atom

=====

Entry 3:
Density functional theory data (PBE) for CaNb2SbO8 after structural relaxation.

abc: 4.8891 4.8879 6.4648
angles: 90.00 90.00 88.05
With the nearest neighbours (Å) after each atom.
Fractional positions:
1 O 0.2080 0.7915 0.7789  1 Nb 1.99, 1 Sb 2.01
2 O 0.3272 0.3266 0.5000  2 Nb 2.04
3 O 0.2926 0.2922 0.0000  1 Sb 2.06, 2 Nb 2.16
4 O 0.7920 0.2085 0.2211  1 Nb 1.99, 1 Sb 2.01
5 O 0.6728 0.6734 0.5000  2 Nb 2.04
6 O 0.2080 0.7915 0.2211  1 Nb 1.99, 1 Sb 2.01
7 O 0.7920 0.2085 0.7789  1 Nb 1.99, 1 Sb 2.01
8 O 0.7074 0.7078 0.0000  1 Sb 2.06, 2 Nb 2.16
9 Nb 0.5000 0.5000 0.2471  6 O 1.99-2.16
10 Nb 0.5000 0.5000 0.7529  6 O 1.99-2.16
11 Ca 0.0000 0.0000 0.5000  6 O 2.29-2.30
12 Sb 0.0000 0.0000 0.0000  6 O 2.01-2.06

Formation energy from raw total energies = -2.2947 eV/atom
Calculated volume = 12.87 A^3/atom

=====

Entry 4:
Density functional theory data (PBE) for Ca2Nb2SbO8 after structural relaxation.

abc: 5.5144 6.9560 10.2191
angles: 70.87 89.67 88.35
With the nearest neighbours (Å) after each atom.
Fractional positions:
1 O 0.1172 0.7668 0.1698  1 Sb 2.06, 2 Nb 2.20-2.22
2 O 0.0268 0.0938 0.6344  2 Nb 2.09-2.21, 1 Ca 2.31
3 O 0.4219 0.3607 0.8592  1 Nb 1.86
4 O 0.6057 0.0617 0.1307  1 Sb 2.06, 2 Nb 2.11-2.22
5 O 0.1547 0.5188 0.6142  1 Nb 1.99
6 O 0.6484 0.8369 0.6418  1 Nb 1.93
7 O 0.5231 0.2445 0.6107  2 Nb 2.03-2.24
8 O 0.8828 0.2332 0.8302  1 Sb 2.06, 2 Nb 2.20-2.22
9 O 0.9155 0.7985 0.9033  1 Nb 1.88
10 O 0.3516 0.1631 0.3582  1 Nb 1.93
11 O 0.0845 0.2015 0.0967  1 Nb 1.88
12 O 0.5781 0.6393 0.1408  1 Nb 1.86
13 O 0.9732 0.9062 0.3656  2 Nb 2.09-2.21, 1 Ca 2.31
14 O 0.8453 0.4812 0.3858  1 Nb 1.99
15 O 0.3943 0.9383 0.8693  1 Sb 2.06, 2 Nb 2.11-2.22
16 O 0.4769 0.7555 0.3893  2 Nb 2.03-2.24
17 Nb 0.2527 0.2472 0.7464  3 O 1.86-2.03
18 Nb 0.2706 0.0124 0.2363  3 O 1.88-2.09
19 Nb 0.7473 0.7528 0.2536  3 O 1.86-2.03
20 Nb 0.7294 0.9876 0.7637  3 O 1.88-2.09
21 Sb 0.7546 0.3182 0.9931  4 O 2.06-2.25
22 Sb 0.2454 0.6818 0.0069  4 O 2.06-2.25
23 Ca 0.2483 0.8550 0.5667  6 O 2.30-2.55
24 Ca 0.7517 0.1450 0.4333  6 O 2.30-2.55
25 Ca 0.7444 0.5296 0.6018  4 O 2.26-2.40
26 Ca 0.2556 0.4704 0.3982  4 O 2.26-2.40

Formation energy from raw total energies = -2.4187 eV/atom
Calculated volume = 14.24 A^3/atom

=====

Entry 5:
Density functional theory data (PBE) for CaNbSbO6 after structural relaxation.

abc: 5.3605 5.3605 10.0959
angles: 90.00 90.00 120.00
With the nearest neighbours (Å) after each atom.
Fractional positions:
1 Sb 0.3333 0.6667 0.2500  6 O 2.01
2 Sb 0.6667 0.3333 0.7500  6 O 2.01
3 O 0.3696 0.3716 0.3589  1 Sb 2.01, 1 Nb 2.03
4 O 0.9980 0.6284 0.8589  1 Sb 2.01, 1 Nb 2.03
5 O 0.6284 0.6304 0.1411  1 Sb 2.01, 1 Nb 2.03
6 O 0.0020 0.6304 0.3589  1 Sb 2.01, 1 Nb 2.03
7 O 0.6304 0.6284 0.6411  1 Sb 2.01, 1 Nb 2.03
8 O 0.3716 0.0020 0.6411  1 Sb 2.01, 1 Nb 2.03
9 O 0.9980 0.3696 0.6411  1 Sb 2.01, 1 Nb 2.03
10 O 0.0020 0.3716 0.1411  1 Sb 2.01, 1 Nb 2.03
11 O 0.3716 0.3696 0.8589  1 Sb 2.01, 1 Nb 2.03
12 O 0.6304 0.0020 0.8589  1 Sb 2.01, 1 Nb 2.03
13 O 0.3696 0.9980 0.1411  1 Sb 2.01, 1 Nb 2.03
14 O 0.6284 0.9980 0.3589  1 Sb 2.01, 1 Nb 2.03
15 Ca 0.0000 0.0000 0.5000  6 O 2.44
16 Ca 0.0000 0.0000 0.0000  6 O 2.44
17 Nb 0.3333 0.6667 0.7500  6 O 2.03
18 Nb 0.6667 0.3333 0.2500  6 O 2.03

Formation energy from raw total energies = -2.2825 eV/atom
Calculated volume = 13.96 A^3/atom

=====

Entry 6:
Density functional theory data (PBE) for Ca2ScNbO after structural relaxation.

abc: 6.2757 3.7787 6.2757
angles: 90.00 90.00 90.00
With the nearest neighbours (Å) after each atom.
Fractional positions:
1 O 0.0000 0.5000 0.0000  2 Sc 1.89
2 Ca 0.0000 0.0000 0.5000  2 Sc 3.14
3 Ca 0.5000 0.0000 0.0000  2 Sc 3.14
4 Nb 0.5000 0.5000 0.5000  8 Ca 3.66, 2 Nb 3.78
5 Sc 0.0000 0.0000 0.0000  2 O 1.89

Formation energy from raw total energies = 0.0862 eV/atom
Calculated volume = 29.76 A^3/atom

=====

Respective E_tot values: -6.20 -5.17 -7.79 -7.64 -7.39 -4.99 eV/atom.